1.
First-principles (PBE) data for a geometry-optimized MgTe2Br structure, as listed in Alexandria.

Properties
offset from the most stable computed form: 0.211 eV per atom
uncorrected formation energy: -0.4165 eV per atom
total energy: -0.206 Ry/atom

a = 3.9276 Å, b = 3.9276 Å, c = 29.2092 Å
α = 90.00°, β = 90.00°, γ = 120.00°
Closest atoms and distances in Å follow each position.
Space group R3m (No. 160, hexagonal axes)
Inequivalent atoms, fractional coordinates:
Mg  0.0000  0.0000  0.0000 x3  3 Br 2.71, 3 Te 3.00
Te  0.0000  0.0000  0.2661 x3  3 Mg 3.00, 3 Te 3.12
Te  0.0000  0.0000  0.5261 x3  3 Te 3.12
Br  0.0000  0.0000  0.7176 x3  3 Mg 2.71

---

2.
First-principles (PBE) data for a geometry-optimized BiS3F structure, as listed in Alexandria.

Properties
offset from the most stable computed form: 0.000 eV per atom
uncorrected formation energy: 0.4884 eV per atom
total energy: -0.231 Ry/atom

a = 4.5129 Å, b = 4.5129 Å, c = 4.5129 Å
α = 90.00°, β = 90.00°, γ = 90.00°
Closest atoms and distances in Å follow each position.
Space group Pm-3m (No. 221)
Inequivalent atoms, fractional coordinates:
Bi  0.0000  0.0000  0.0000 x1  12 S 3.19
S  0.0000  0.5000  0.5000 x3  2 F 2.26
F  0.5000  0.5000  0.5000 x1  6 S 2.26

---

3.
First-principles (PBE) data for a geometry-optimized Tm3RhN structure, as listed in Alexandria.

Properties
uncorrected formation energy: -0.9417 eV per atom
total energy: -0.497 Ry/atom

a = 4.6272 Å, b = 4.6272 Å, c = 4.6272 Å
α = 90.00°, β = 90.00°, γ = 90.00°
Closest atoms and distances in Å follow each position.
Space group Pm-3m (No. 221)
Inequivalent atoms, fractional coordinates:
Tm  0.0000  0.0000  0.5000 x3  2 N 2.31
Rh  0.5000  0.5000  0.5000 x1  12 Tm 3.27
N  0.0000  0.0000  0.0000 x1  6 Tm 2.31

---

4.
First-principles (PBE) data for a geometry-optimized ScBeSb4 structure, as listed in Alexandria.

Properties
uncorrected formation energy: 0.5575 eV per atom
total energy: -0.284 Ry/atom

a = 8.6521 Å, b = 8.6521 Å, c = 8.6521 Å
α = 90.00°, β = 90.00°, γ = 90.00°
Closest atoms and distances in Å follow each position.
Space group F-43m (No. 216)
Inequivalent atoms, fractional coordinates:
Sc  0.0000  0.0000  0.0000 x4  12 Sb 3.59, 4 Be 3.75
Be  0.2500  0.2500  0.7500 x4  12 Sb 3.59, 4 Sc 3.75
Sb  0.1246  0.1246  0.3754 x16  6 Sb 3.05-3.07

---

5.
First-principles (PBE) data for a geometry-optimized LaCoOs structure, as listed in Alexandria.

Properties
offset from the most stable computed form: 0.095 eV per atom
ΔE_f: 17 meV per atom
total energy: -0.569 Ry/atom

a = 4.0658 Å, b = 4.0658 Å, c = 4.4013 Å
α = 90.00°, β = 90.00°, γ = 120.00°
Closest atoms and distances in Å follow each position.
Space group P-6m2 (No. 187)
Inequivalent atoms, fractional coordinates:
La  0.0000  0.0000  0.0000 x1  6 Co 3.22, 6 Os 3.22
Co  0.3333  0.6667  0.5000 x1  3 Os 2.35
Os  0.6667  0.3333  0.5000 x1  3 Co 2.35

---

6.
First-principles (PBE) data for a geometry-optimized NaThSn2Te4 structure, as listed in Alexandria.

Properties
uncorrected formation energy: -0.6293 eV per atom
total energy: -0.316 Ry/atom

a = 6.4208 Å, b = 6.4208 Å, c = 12.8083 Å
α = 90.00°, β = 90.00°, γ = 90.00°
Closest atoms and distances in Å follow each position.
Space group I-4m2 (No. 119)
Inequivalent atoms, fractional coordinates:
Na  0.0000  0.0000  0.0000 x2  6 Te 3.21-3.25
Th  0.0000  0.5000  0.7500 x2  6 Te 3.14-3.21
Sn  0.0000  0.0000  0.5000 x2  6 Te 3.16-3.21
Sn  0.0000  0.5000  0.2500 x2  6 Te 3.21-3.27
Te  0.0000  0.0000  0.2535 x4  3 Sn 3.16-3.21, 2 Th 3.21, 1 Na 3.25
Te  0.0000  0.5000  0.5051 x4  1 Th 3.14, 2 Na 3.21, 3 Sn 3.21-3.27

---

7.
First-principles (PBE) data for a geometry-optimized CaGaSb2I structure, as listed in Alexandria.

Properties
offset from the most stable computed form: 0.325 eV per atom
uncorrected formation energy: 0.2546 eV per atom
total energy: -0.199 Ry/atom

a = 5.8731 Å, b = 5.8731 Å, c = 6.0333 Å
α = 90.00°, β = 90.00°, γ = 90.00°
Closest atoms and distances in Å follow each position.
Space group P4/mmm (No. 123)
Inequivalent atoms, fractional coordinates:
Ca  0.0000  0.0000  0.0000 x1  4 Sb 2.94, 2 I 3.02
Ga  0.5000  0.5000  0.5000 x1  4 I 4.15, 8 Sb 4.21
Sb  0.0000  0.5000  0.0000 x2  2 Ca 2.94
I  0.0000  0.0000  0.5000 x1  2 Ca 3.02

---

8.
First-principles (PBE) data for a geometry-optimized Tb5Cd4Rh structure, as listed in Alexandria.

Properties
ΔE_f: -425 meV per atom
total energy: -0.282 Ry/atom

a = 3.6431 Å, b = 3.6431 Å, c = 18.9723 Å
α = 90.00°, β = 90.00°, γ = 90.00°
Closest atoms and distances in Å follow each position.
Space group P4/mmm (No. 123)
Inequivalent atoms, fractional coordinates:
Tb  0.0000  0.0000  0.0000 x1  8 Cd 3.24
Tb  0.0000  0.0000  0.2063 x2  8 Cd 3.22-3.23
Tb  0.0000  0.0000  0.4156 x2  4 Rh 3.03, 1 Tb 3.20, 4 Cd 3.29
Cd  0.5000  0.5000  0.1033 x2  8 Tb 3.23-3.24
Cd  0.5000  0.5000  0.3078 x2  8 Tb 3.22-3.29
Rh  0.5000  0.5000  0.5000 x1  8 Tb 3.03

---

9.
First-principles (PBE) data for a geometry-optimized FeAu3 structure, as listed in Alexandria.

Properties
ΔE_f: 155 meV per atom
total energy: -0.325 Ry/atom

a = 4.8604 Å, b = 9.4444 Å, c = 5.9039 Å
α = 90.00°, β = 90.00°, γ = 90.00°
Closest atoms and distances in Å follow each position.
Space group Pnma (No. 62)
Inequivalent atoms, fractional coordinates:
Fe  0.0714  0.2500  0.1348 x4  10 Au 2.74-3.06, 2 Fe 2.78
Au  0.0636  0.2500  0.6160 x4  4 Fe 2.81-3.06, 8 Au 2.86-2.99
Au  0.2410  0.5081  0.8719 x8  3 Fe 2.74-3.01, 9 Au 2.79-2.99

---

10.
First-principles (PBE) data for a geometry-optimized Al2SbOs structure, as listed in Alexandria.

Properties
uncorrected formation energy: 0.3326 eV per atom
total energy: -0.395 Ry/atom

a = 3.2954 Å, b = 4.8308 Å, c = 8.7257 Å
α = 90.00°, β = 90.00°, γ = 90.00°
Closest atoms and distances in Å follow each position.
Space group Imm2 (No. 44)
Inequivalent atoms, fractional coordinates:
Al  0.0000  0.0000  0.0000 x2  2 Al 2.72, 2 Sb 2.82, 4 Os 2.93
Al  0.0000  0.5000  0.2516 x2  2 Os 2.58, 2 Al 2.72
Sb  0.0000  0.5000  0.7628 x2  2 Os 2.81, 6 Al 2.82-2.93
Os  0.0000  0.0000  0.5236 x2  2 Al 2.58, 2 Sb 2.81

---

11.
First-principles (PBE) data for a geometry-optimized Ba2I2Br structure, as listed in Alexandria.

Properties
offset from the most stable computed form: 0.035 eV per atom
uncorrected formation energy: -1.6313 eV per atom
total energy: -0.247 Ry/atom

a = 4.9772 Å, b = 4.9772 Å, c = 11.5065 Å
α = 90.00°, β = 90.00°, γ = 120.00°
Closest atoms and distances in Å follow each position.
Space group P-3m1 (No. 164)
Inequivalent atoms, fractional coordinates:
Ba  0.3333  0.6667  0.3360 x2  3 Br 3.44, 3 I 3.44
I  0.3333  0.6667  0.8281 x2  3 Ba 3.44
Br  0.0000  0.0000  0.5000 x1  6 Ba 3.44

---

12.
First-principles (PBE) data for a geometry-optimized ScSiC structure, as listed in Alexandria.

Properties
offset from the most stable computed form: 0.217 eV per atom
uncorrected formation energy: -0.1503 eV per atom
total energy: -0.525 Ry/atom

a = 4.1649 Å, b = 4.3605 Å, c = 4.9254 Å
α = 92.89°, β = 108.53°, γ = 97.25°
Closest atoms and distances in Å follow each position.
Space group P1 (No. 1)
Inequivalent atoms, fractional coordinates:
Sc  0.0000  0.0000  0.0000 x1  4 C 2.38-2.61
Sc  0.1954  0.5910  0.5093 x1  3 C 2.25-2.40
Si  0.5210  0.4977  0.0851 x1  1 C 2.02
Si  0.6104  0.1124  0.4552 x1  2 C 1.82-1.94
C  0.0618  0.0733  0.5435 x1  1 C 1.48
C  0.4087  0.1614  0.7564 x1  1 C 1.48

---

13.
First-principles (PBE) data for a geometry-optimized Ba5Hg2Pt structure, as listed in Alexandria.

Properties
ΔE_f: -483 meV per atom
total energy: -0.185 Ry/atom

a = 19.9064 Å, b = 8.1243 Å, c = 8.8985 Å
α = 90.00°, β = 97.44°, γ = 90.00°
Closest atoms and distances in Å follow each position.
Space group C2/c (No. 15)
Inequivalent atoms, fractional coordinates:
Ba  0.0000  0.0713  0.2500 x4  4 Hg 3.47-3.56
Ba  0.0993  0.3791  0.9309 x8  1 Pt 3.16, 1 Hg 3.50
Ba  0.2169  0.0725  0.3049 x8  2 Pt 3.17-3.22
Hg  0.1025  0.2080  0.5706 x8  6 Ba 3.47-3.67
Pt  0.2500  0.2500  0.0000 x4  6 Ba 3.16-3.22

---

14.
First-principles (PBE) data for a geometry-optimized HgIrPb structure, as listed in Alexandria.

Properties
offset from the most stable computed form: 0.000 eV per atom
ΔE_f: 267 meV per atom
total energy: -0.296 Ry/atom

a = 3.8455 Å, b = 3.8455 Å, c = 5.3963 Å
α = 90.00°, β = 90.00°, γ = 90.00°
Closest atoms and distances in Å follow each position.
Space group P4/mmm (No. 123)
Inequivalent atoms, fractional coordinates:
Hg  0.0000  0.0000  0.0000 x1  2 Ir 2.70
Ir  0.0000  0.0000  0.5000 x1  2 Hg 2.70, 4 Pb 2.72
Pb  0.5000  0.5000  0.5000 x1  4 Ir 2.72

---

15.
First-principles (PBE) data for a geometry-optimized Ta2Ru structure, as listed in Alexandria.

Properties
ΔE_f: -281 meV per atom
total energy: -0.829 Ry/atom

a = 3.1908 Å, b = 13.6743 Å, c = 4.5934 Å
α = 90.00°, β = 90.00°, γ = 90.00°
Closest atoms and distances in Å follow each position.
Space group Cmcm (No. 63)
Inequivalent atoms, fractional coordinates:
Ta  0.0000  0.0813  0.2500 x4  6 Ru 2.73-2.80, 2 Ta 2.83
Ta  0.0000  0.2473  0.7500 x4  2 Ru 2.78, 6 Ta 2.80-2.83
Ru  0.0000  0.4195  0.2500 x4  8 Ta 2.73-2.80

---

16.
First-principles (PBE) data for a geometry-optimized Pu2Zn5Pd3 structure, as listed in Alexandria.

Properties
ΔE_f: -342 meV per atom
total energy: -0.397 Ry/atom

a = 11.4632 Å, b = 11.4805 Å, c = 5.7187 Å
α = 90.00°, β = 90.00°, γ = 90.00°
Closest atoms and distances in Å follow each position.
Space group Ibam (No. 72)
Inequivalent atoms, fractional coordinates:
Pu  0.1268  0.2425  0.0000 x8  4 Pd 3.09-3.15, 6 Zn 3.12-3.45
Zn  0.0000  0.0000  0.2500 x4  4 Pd 2.60, 2 Zn 2.86
Zn  0.1188  0.3590  0.5000 x8  3 Pd 2.52-2.55, 2 Zn 2.58
Zn  0.2419  0.5000  0.2500 x8  4 Zn 2.58-2.86, 3 Pd 2.62-2.77
Pd  0.0000  0.5000  0.2500 x4  6 Zn 2.55-2.77, 2 Pd 2.86
Pd  0.1281  0.1399  0.5000 x8  5 Zn 2.52-2.62

---

17.
First-principles (PBE) data for a geometry-optimized CaTeRhPb2 structure, as listed in Alexandria.

Properties
uncorrected formation energy: -0.3924 eV per atom
total energy: -0.322 Ry/atom

a = 5.2238 Å, b = 5.2238 Å, c = 5.5309 Å
α = 90.00°, β = 90.00°, γ = 90.00°
Closest atoms and distances in Å follow each position.
Space group P4/mmm (No. 123)
Inequivalent atoms, fractional coordinates:
Ca  0.0000  0.0000  0.0000 x1  2 Rh 2.77
Te  0.5000  0.5000  0.0000 x1  4 Ca 3.69, 8 Pb 3.80
Rh  0.0000  0.0000  0.5000 x1  4 Pb 2.61, 2 Ca 2.77
Pb  0.0000  0.5000  0.5000 x2  2 Rh 2.61

---

18.
First-principles (PBE) data for a geometry-optimized Ce4Hg5Pd2 structure, as listed in Alexandria.

Properties
ΔE_f: -452 meV per atom
total energy: -0.271 Ry/atom

a = 7.8791 Å, b = 3.6696 Å, c = 9.8060 Å
α = 90.00°, β = 94.33°, γ = 90.00°
Closest atoms and distances in Å follow each position.
Space group P2/m (No. 10)
Inequivalent atoms, fractional coordinates:
Ce  0.1839  0.0000  0.3577 x2  2 Pd 2.93
Ce  0.2348  0.0000  0.9353 x2  4 Pd 3.04-3.08, 6 Hg 3.33-3.40
Hg  0.1662  0.5000  0.6439 x2  1 Pd 2.97, 1 Hg 3.08, 2 Ce 3.31
Hg  0.4510  0.5000  0.1754 x2  1 Pd 2.98, 1 Hg 3.18, 2 Ce 3.33
Hg  0.5000  0.5000  0.5000 x1  4 Hg 3.08-3.18, 4 Ce 3.32
Pd  0.0728  0.5000  0.1361 x2  1 Pd 2.82, 6 Ce 2.93-3.08, 2 Hg 2.97-2.98

---

19.
First-principles (PBE) data for a geometry-optimized MnHg2I6 structure, as listed in Alexandria.

Properties
offset from the most stable computed form: 0.000 eV per atom
uncorrected formation energy: -0.3356 eV per atom
total energy: -0.180 Ry/atom

a = 16.0823 Å, b = 15.9177 Å, c = 7.6057 Å
α = 90.00°, β = 115.77°, γ = 90.00°
Closest atoms and distances in Å follow each position.
Space group C2/c (No. 15)
Inequivalent atoms, fractional coordinates:
Mn  0.0000  0.2227  0.2500 x4  4 I 2.69-2.70
Hg  0.2325  0.4216  0.4120 x8  4 I 2.82-2.89
I  0.0918  0.1266  0.5696 x8  1 Mn 2.70, 1 Hg 2.87
I  0.1008  0.3144  0.1150 x8  1 Mn 2.69, 1 Hg 2.89
I  0.2063  0.4100  0.7546 x8  2 Hg 2.82-2.89

---

20.
First-principles (PBE) data for a geometry-optimized AcPaNiS4 structure, as listed in Alexandria.

Properties
uncorrected formation energy: -1.5472 eV per atom
total energy: -0.491 Ry/atom

a = 6.3237 Å, b = 6.0840 Å, c = 8.0763 Å
α = 90.00°, β = 107.38°, γ = 90.00°
Closest atoms and distances in Å follow each position.
Space group P2_1/m (No. 11)
Inequivalent atoms, fractional coordinates:
Ac  0.2478  0.2500  0.4394 x2  6 S 2.87-3.12
Pa  0.2572  0.2500  0.9439 x2  6 S 2.69-2.81
Ni  0.2673  0.7500  0.1708 x2  4 S 2.17-2.25
S  0.0654  0.7500  0.9018 x2  1 Ni 2.17
S  0.0769  0.7500  0.3660 x2  1 Ni 2.25
S  0.4787  0.5120  0.7707 x4  1 Ni 2.21